1.
## RbZnTc (PBE-GGA)

Data for a geometry-optimized RbZnTc structure.

## Properties
E (eV/atom): -2.626
Energy relative to the lowest polymorph listed for this composition (meV per atom): 0
Symmetry: F-43m (216)

a = 5.0646 Å, b = 5.0646 Å, c = 5.0646 Å
α = 60.00°, β = 60.00°, γ = 60.00°
Closest atoms and distances in Å follow each position.
Sites, in units of the cell vectors:
Rb: 0.2500 0.2500 0.2500  4 Zn 3.10
Tc: 0.7500 0.7500 0.7500  4 Zn 3.10
Zn: 0.0000 0.0000 0.0000  4 Tc 3.10, 4 Rb 3.10

2.
## SmPbAu (PBE-GGA)

Data for a geometry-optimized SmPbAu structure.

## Properties
E (eV/atom): -4.473
Symmetry: Pnma (62)

a = 7.4603 Å, b = 4.8612 Å, c = 8.4696 Å
α = 90.00°, β = 90.00°, γ = 90.00°
Closest atoms and distances in Å follow each position.
Sites, in units of the cell vectors:
Au: 0.8148 0.2500 0.0821  4 Pb 2.85-3.08
Au: 0.3148 0.2500 0.4179  4 Pb 2.85-3.08
Au: 0.6852 0.7500 0.5821  4 Pb 2.85-3.08
Au: 0.1852 0.7500 0.9179  4 Pb 2.85-3.08
Pb: 0.2273 0.2500 0.0894  4 Au 2.85-3.08
Pb: 0.7273 0.2500 0.4106  4 Au 2.85-3.08
Pb: 0.2727 0.7500 0.5894  4 Au 2.85-3.08
Pb: 0.7727 0.7500 0.9106  4 Au 2.85-3.08
Sm: 0.5005 0.7500 0.2212  6 Au 3.26-3.58, 6 Pb 3.32-3.55
Sm: 0.0005 0.7500 0.2788  6 Au 3.26-3.58, 6 Pb 3.32-3.55
Sm: 0.9995 0.2500 0.7212  6 Au 3.26-3.58, 6 Pb 3.32-3.55
Sm: 0.4995 0.2500 0.7788  6 Au 3.26-3.58, 6 Pb 3.32-3.55

3.
## CoH2 (PBE-GGA)

Data for a geometry-optimized CoH2 structure.

## Properties
E (eV/atom): -4.506
Symmetry: R-3m (166)

a = 4.0239 Å, b = 4.0239 Å, c = 4.0239 Å
α = 35.33°, β = 35.33°, γ = 35.33°
Closest atoms and distances in Å follow each position.
Sites, in units of the cell vectors:
Co: 0.0000 0.0000 0.0000  6 H 1.69
H: 0.2517 0.2517 0.2517  3 Co 1.69
H: 0.7483 0.7483 0.7483  3 Co 1.69

4.
## PdSe2I6 (PBE-GGA)

Data for a geometry-optimized PdSe2I6 structure.

## Properties
E (eV/atom): -2.453
Symmetry: C2/c (15)

a = 10.3735 Å, b = 10.3735 Å, c = 8.6308 Å
α = 96.52°, β = 96.52°, γ = 52.85°
Closest atoms and distances in Å follow each position.
Sites, in units of the cell vectors:
I: 0.8888 0.2544 0.0343  1 Pd 2.64
I: 0.5794 0.6336 0.0790  1 Se 2.68
I: 0.8795 0.6682 0.2443  1 Se 2.60
I: 0.3318 0.1205 0.2557  1 Se 2.60
I: 0.3664 0.4206 0.4210  1 Se 2.68
I: 0.7456 0.1112 0.4657  1 Pd 2.64
I: 0.2544 0.8888 0.5343  1 Pd 2.64
I: 0.6336 0.5794 0.5790  1 Se 2.68
I: 0.6682 0.8795 0.7443  1 Se 2.60
I: 0.1205 0.3318 0.7557  1 Se 2.60
I: 0.4206 0.3664 0.9210  1 Se 2.68
I: 0.1112 0.7456 0.9657  1 Pd 2.64
Pd: 0.1801 0.8199 0.2500  2 Se 2.47, 2 I 2.64
Pd: 0.8199 0.1801 0.7500  2 Se 2.47, 2 I 2.64
Se: 0.2869 0.9204 0.0976  1 Pd 2.47, 2 I 2.60-2.68
Se: 0.0796 0.7131 0.4024  1 Pd 2.47, 2 I 2.60-2.68
Se: 0.9204 0.2869 0.5976  1 Pd 2.47, 2 I 2.60-2.68
Se: 0.7131 0.0796 0.9024  1 Pd 2.47, 2 I 2.60-2.68